--- A ---
Material: BeAg2Br
Method: DFT, PBE-GGA
State: optimized geometry Values from VASP.

```
&SYSTEM
  ibrav = 0, nat = 4, ntyp = 3
/
ATOMIC_SPECIES
Be 9.01 Be.upf
Br 79.90 Br.upf
Ag 107.87 Ag.upf
CELL_PARAMETERS angstrom
-1.8927 -2.5454 -0.5227
2.5489 -1.3747 -2.5357
3.2494 -3.3963 4.7733
ATOMIC_POSITIONS angstrom
Be 3.3263 -2.5158 0.2067
Br 3.1220 -4.5820 1.1223
Ag 2.2504 -1.3622 -1.5154
Ag 0.6550 -2.6166 0.4843
```

Calculated values
DOS at the Fermi energy (states/eV/cell): 0.85
Space-group type: Pm

--- B ---
Material: BeAg2Br
Method: DFT, PBE-GGA
State: optimized geometry Values from VASP.

```
&SYSTEM
  ibrav = 0, nat = 4, ntyp = 3
/
ATOMIC_SPECIES
Be 9.01 Be.upf
Br 79.90 Br.upf
Ag 107.87 Ag.upf
CELL_PARAMETERS angstrom
-5.1635 -1.0788 -1.4563
0.7884 -1.4473 -5.2182
0.7303 -1.3044 5.2642
ATOMIC_POSITIONS angstrom
Be -3.3104 -1.8231 0.2353
Br -0.3344 -2.0074 -1.6457
Ag -4.2256 -2.4398 -6.4465
Ag -2.3370 -1.3493 -3.5653
```

Calculated values
DOS at the Fermi energy (states/eV/cell): 0.87
Space-group type: Immm

A has the most favorable energy; the next structure is 0.290 eV/atom above.